(1)
# SiAg2Pb PBE-GGA optimized geometry
# Theoretical density, g/cm3: 8.869
# Formation energy from raw total energies, eV/f.u.: 1.61
# Space-group type: C2/m
# Excess energy over the best structure of this formula in the dataset, eV per formula unit: 0.542
data_SiAg2Pb
_symmetry_space_group_name_H-M 'P 1'
_symmetry_Int_Tables_number 1
_cell_length_a 5.940
_cell_length_b 5.669
_cell_length_c 3.039
_cell_angle_alpha 79.64
_cell_angle_beta 80.30
_cell_angle_gamma 118.60
loop_
_symmetry_equiv_pos_as_xyz
'x,y,z'
loop_
_atom_site_label
_atom_site_fract_x
_atom_site_fract_y
_atom_site_fract_z
Ag1 0.500 0.000 0.500
Ag2 0.000 0.000 0.000
Pb1 0.000 0.500 0.500
Si1 0.500 0.500 0.000

(2)
# TlReRh2 PBE-GGA optimized geometry
# Theoretical density, g/cm3: 14.828
# Space-group type: P4mm
# Formation energy, eV/atom: 0.47
# Excess energy over the best structure of this formula in the dataset, eV per formula unit: 1.548
data_TlReRh2
_symmetry_space_group_name_H-M 'P 1'
_symmetry_Int_Tables_number 1
_cell_length_a 3.189
_cell_length_b 3.189
_cell_length_c 6.567
_cell_angle_alpha 90.00
_cell_angle_beta 90.00
_cell_angle_gamma 90.00
loop_
_symmetry_equiv_pos_as_xyz
'x,y,z'
loop_
_atom_site_label
_atom_site_fract_x
_atom_site_fract_y
_atom_site_fract_z
Rh1 0.000 0.000 0.986
Rh2 0.500 0.500 0.230
Tl1 0.000 0.000 0.488
Re1 0.500 0.500 0.796

(3)
# Al4TlMo PBE-GGA optimized geometry
# Theoretical density, g/cm3: 6.633
# Space-group type: F-43m
# Formation energy, eV/atom: 0.17
data_Al4TlMo
_symmetry_space_group_name_H-M 'P 1'
_symmetry_Int_Tables_number 1
_cell_length_a 5.248
_cell_length_b 5.248
_cell_length_c 5.248
_cell_angle_alpha 60.00
_cell_angle_beta 60.00
_cell_angle_gamma 60.00
loop_
_symmetry_equiv_pos_as_xyz
'x,y,z'
loop_
_atom_site_label
_atom_site_fract_x
_atom_site_fract_y
_atom_site_fract_z
Al1 0.872 0.376 0.376
Al2 0.376 0.872 0.376
Al3 0.376 0.376 0.872
Al4 0.376 0.376 0.376
Tl1 0.000 0.000 0.000
Mo1 0.750 0.750 0.750

Number 1: N(E_F) 0.3036 states/eV/atom. Number 2: N(E_F) 0.6072 states/eV/atom. Number 3: N(E_F) 0.2606 states/eV/atom.